This record from Alexandria via LeMat-Bulk describes crystalline Na5Cd2Hg at its relaxed geometry. The functional is PBE-GGA.

## Properties
For the polymorph energy (0 for the lowest one), the calculation gives 0 meV per atom. The value obtained for the formation energy is -0.0991 eV/atom. The calculation puts the density of states at the Fermi level at 0.310 states/eV per atom.

The structure in POSCAR format:
```
Na5Cd2Hg
1.0
-0.099 3.375 -3.684
-6.535 1.008 1.099
2.963 9.654 8.766
Cd Na Hg
4 10 2
Direct
0.500 0.797 0.131
0.500 0.297 0.369
0.500 0.203 0.869
0.500 0.703 0.631
0.500 0.800 0.390
0.000 0.554 0.238
0.000 0.446 0.762
0.500 0.700 0.890
0.500 0.200 0.610
0.500 0.300 0.110
0.000 0.946 0.738
0.000 0.054 0.262
0.000 0.500 0.500
0.000 0.000 0.000
0.000 0.000 0.500
0.000 0.500 0.000
```